No. 1
DFT (meta-GGA SCAN) results for a crystal of BaTaTc2Bi relaxed with PBEsol.

Cell lengths 4.8551, 4.8551, 5.5214 Å; angles 90.00, 90.00, 90.00 degrees
Space group P4/mmm (No. 123)
Unique sites:
1 Ba 0.0000 0.0000 0.0000 x1
2 Ta 0.5000 0.5000 0.5000 x1
3 Tc 0.0000 0.5000 0.5000 x2
4 Bi 0.5000 0.5000 0.0000 x1

Calculated values
- Formation energy: 0.94 eV/atom

No. 2
DFT (meta-GGA SCAN) results for a crystal of BaTaBi2Te relaxed with PBEsol.

Cell lengths 5.3428, 5.3428, 6.1828 Å; angles 90.00, 90.00, 90.00 degrees
Space group P4/mmm (No. 123)
Unique sites:
1 Ba 0.0000 0.0000 0.0000 x1
2 Ta 0.0000 0.0000 0.5000 x1
3 Bi 0.0000 0.5000 0.5000 x2
4 Te 0.5000 0.5000 0.0000 x1

Calculated values
- ΔE_f (raw): 0.18 eV per atom

No. 3
DFT (meta-GGA SCAN) results for a crystal of Ba2TaTiBi relaxed with PBEsol.

Cell lengths 6.5281, 6.5281, 5.2881 Å; angles 90.00, 90.00, 90.00 degrees
Space group P4/mmm (No. 123)
Unique sites:
1 Ba 0.0000 0.5000 0.0000 x2
2 Ta 0.0000 0.0000 0.5000 x1
3 Ti 0.5000 0.5000 0.5000 x1
4 Bi 0.0000 0.0000 0.0000 x1

Calculated values
- Formation energy: 1.04 eV/atom

No. 4
DFT (meta-GGA SCAN) results for a crystal of BaBiTe2 relaxed with PBEsol.

Cell lengths 4.5027, 4.5027, 30.2854 Å; angles 90.00, 90.00, 120.00 degrees
Space group R-3m (No. 166, hexagonal axes)
Unique sites:
1 Ba 0.0000 0.0000 0.0000 x3
2 Bi 0.0000 0.0000 0.5000 x3
3 Te 0.0000 0.0000 0.1097 x6

Calculated values
- ΔE_f (raw): -0.40 eV per atom

Let's list E_tot in order: -50.030 -59.925 -47.014 -48.555 eV/atom.